# 1
CdCoI2O: relaxed, PBE with a Hubbard U.

Geometry as POSCAR:
```
CdCoI2O
1.0
5.7725 0.0000 0.0000
0.0000 5.7725 0.0000
0.0000 0.0000 3.6650
Cd Co I O
1 1 2 1
Cartesian
0.0000 0.0000 0.0000
2.8863 2.8863 1.8325
0.0000 2.8863 1.8325
2.8863 0.0000 1.8325
2.8863 2.8863 0.0000
```

Values from the calculation:
- V: 24.425 Å³ per atom
- E above lowest polymorph: 0.0 meV per atom
- Space group: P4/mmm, No. 123

# 2
CdCoI2O: relaxed, PBE with a Hubbard U.

Geometry as POSCAR:
```
CdCoI2O
1.0
5.9288 0.0000 0.0000
0.0000 5.9288 0.0000
0.0000 0.0000 4.0537
Cd Co I O
1 1 2 1
Cartesian
0.0000 0.0000 0.0000
2.9644 2.9644 2.0268
0.0000 2.9644 0.0000
2.9644 0.0000 0.0000
0.0000 0.0000 2.0268
```

Values from the calculation:
- V: 28.498 Å³ per atom
- E above lowest polymorph: 589.7 meV per atom
- Space group: P4/mmm, No. 123

# 3
CdCoI2O: relaxed, PBE with a Hubbard U.

Geometry as POSCAR:
```
CdCoI2O
1.0
6.5875 0.0000 0.0000
0.0000 6.5875 0.0000
0.0000 0.0000 3.4493
Cd Co I O
1 1 2 1
Cartesian
0.0000 0.0000 0.0000
3.2938 3.2938 0.0000
0.0000 3.2938 1.7247
3.2938 0.0000 1.7247
3.2938 3.2938 1.7247
```

Values from the calculation:
- V: 29.937 Å³ per atom
- E above lowest polymorph: 195.4 meV per atom
- Space group: P4/mmm, No. 123